#one
Density functional theory data (PBE) for BeO2F after structural relaxation.

Unit cell a=3.9477 b=3.9477 c=5.7985 alpha=70.10 beta=70.10 gamma=90.00
Closest atoms and distances in Å follow each position.
Element x y z (fractional)
O: 0.3742 0.6250 0.2500  2 Be 1.61
O: 0.3750 0.6242 0.7500  2 Be 1.61
O: 0.8750 0.6258 0.7500  2 Be 1.61
O: 0.3758 0.1250 0.2500  2 Be 1.61
Be: 0.2500 0.7500 0.5000  4 O 1.61
Be: 0.5000 0.5000 0.0000  4 O 1.61
F: 0.0000 0.0000 0.0000  8 O 2.54-2.55, 4 Be 2.79
F: 0.7500 0.2500 0.5000  8 O 2.54-2.55, 4 Be 2.79

Magnetic moment ... 0.40 μB/atom

#two
Density functional theory data (PBE) for BeO2F after structural relaxation.

Unit cell a=3.6106 b=3.6106 c=3.6106 alpha=60.00 beta=60.00 gamma=60.00
Closest atoms and distances in Å follow each position.
Element x y z (fractional)
F: 0.5000 0.5000 0.5000  8 O 2.21
Be: 0.0000 0.0000 0.0000  8 O 2.21
O: 0.7500 0.7500 0.7500  4 F 2.21, 4 Be 2.21
O: 0.2500 0.2500 0.2500  4 F 2.21, 4 Be 2.21

Magnetic moment ... 0.75 μB/atom

Short version: #two is the least stable of them.